[1]
First-principles (PBE-GGA) data for a relaxed Rb14Pm2O9 crystal, as listed in Alexandria.

a = 8.3138 Å, b = 8.3138 Å, c = 11.6280 Å
α = 90.00°, β = 90.00°, γ = 120.00°
With the nearest neighbours (Å) after each atom.
Space group P-3 (No. 147)
Asymmetric unit:
Rb  0.0000  0.0000  0.2484 (multiplicity 2)  4 O 2.89-3.03
Rb  0.0395  0.6756  0.9077 (multiplicity 6)  4 O 2.98-3.21
Rb  0.0978  0.3869  0.5918 (multiplicity 6)  3 O 2.84-3.09
Pm  0.3333  0.6667  0.2760 (multiplicity 2)  4 O 2.25-2.28
O  0.0000  0.0000  0.0000 (multiplicity 1)  8 Rb 2.89-3.07
O  0.1146  0.3824  0.3416 (multiplicity 6)  1 Pm 2.28
O  0.3333  0.6667  0.0823 (multiplicity 2)  1 Pm 2.25



[2]
First-principles (PBE-GGA) data for a relaxed ScTi2V crystal, as listed in Alexandria.

a = 3.0160 Å, b = 3.0160 Å, c = 27.5189 Å
α = 90.00°, β = 90.00°, γ = 120.00°
With the nearest neighbours (Å) after each atom.
Space group R3m (No. 160, hexagonal axes)
Asymmetric unit:
Sc  0.0000  0.0000  0.0000 (multiplicity 3)  6 Sc 3.02, 6 Ti 3.08-3.10
Ti  0.0000  0.0000  0.5733 (multiplicity 3)  3 V 2.68
Ti  0.0000  0.0000  0.7591 (multiplicity 3)  3 V 2.67
V  0.0000  0.0000  0.1661 (multiplicity 3)  6 Ti 2.67-2.68



[3]
First-principles (PBE-GGA) data for a relaxed Ba3InOs crystal, as listed in Alexandria.

a = 5.9657 Å, b = 5.9657 Å, c = 5.9657 Å
α = 90.00°, β = 90.00°, γ = 90.00°
With the nearest neighbours (Å) after each atom.
Space group Pm-3m (No. 221)
Asymmetric unit:
Ba  0.0000  0.0000  0.5000 (multiplicity 3)  2 Os 2.98
In  0.5000  0.5000  0.5000 (multiplicity 1)  12 Ba 4.22
Os  0.0000  0.0000  0.0000 (multiplicity 1)  6 Ba 2.98



[4]
First-principles (PBE-GGA) data for a relaxed SbPS2Cl crystal, as listed in Alexandria.

a = 4.9235 Å, b = 4.9235 Å, c = 5.4903 Å
α = 90.00°, β = 90.00°, γ = 90.00°
With the nearest neighbours (Å) after each atom.
Space group P4/mmm (No. 123)
Asymmetric unit:
Sb  0.0000  0.0000  0.0000 (multiplicity 1)  4 S 2.46, 2 P 2.75
P  0.0000  0.0000  0.5000 (multiplicity 1)  2 Sb 2.75
S  0.0000  0.5000  0.0000 (multiplicity 2)  2 Sb 2.46
Cl  0.5000  0.5000  0.5000 (multiplicity 1)  4 P 3.48, 8 S 3.69



[5]
First-principles (PBE-GGA) data for a relaxed PuSeS crystal, as listed in Alexandria.

a = 11.6115 Å, b = 11.6115 Å, c = 5.6865 Å
α = 90.00°, β = 90.00°, γ = 90.00°
With the nearest neighbours (Å) after each atom.
Space group I4/mmm (No. 139)
Asymmetric unit:
Pu  0.0000  0.3093  0.0000 (multiplicity 8)  2 S 2.54
Se  0.0000  0.3353  0.5000 (multiplicity 8)  4 Pu 2.86-2.93
S  0.1571  0.1571  0.0000 (multiplicity 8)  2 Pu 2.54



[6]
First-principles (PBE-GGA) data for a relaxed LiPmYTc crystal, as listed in Alexandria.

a = 7.0681 Å, b = 7.0681 Å, c = 7.0681 Å
α = 90.00°, β = 90.00°, γ = 90.00°
With the nearest neighbours (Å) after each atom.
Space group F-43m (No. 216)
Asymmetric unit:
Li  0.0000  0.0000  0.0000 (multiplicity 4)  4 Pm 3.06, 4 Y 3.06
Pm  0.2500  0.2500  0.7500 (multiplicity 4)  4 Tc 3.06, 4 Li 3.06
Y  0.2500  0.2500  0.2500 (multiplicity 4)  4 Li 3.06, 4 Tc 3.06
Tc  0.0000  0.0000  0.5000 (multiplicity 4)  4 Y 3.06, 4 Pm 3.06



[7]
First-principles (PBE-GGA) data for a relaxed Tb2PrErTl2 crystal, as listed in Alexandria.

a = 5.1539 Å, b = 10.0850 Å, c = 6.8772 Å
α = 90.00°, β = 90.00°, γ = 90.00°
With the nearest neighbours (Å) after each atom.
Space group Pmc2_1 (No. 26)
Asymmetric unit:
Tb  0.0000  0.0457  0.0000 (multiplicity 2)  5 Tl 3.24-3.58, 4 Tb 3.52-3.56
Tb  0.5000  0.1820  0.2860 (multiplicity 2)  4 Tl 3.20-3.26, 2 Tb 3.52
Pr  0.5000  0.4561  0.9060 (multiplicity 2)  5 Tl 3.29-3.54, 2 Er 3.55, 2 Pr 3.55
Er  0.0000  0.3070  0.6267 (multiplicity 2)  4 Tl 3.18-3.33, 2 Pr 3.55
Tl  0.0000  0.3640  0.1716 (multiplicity 2)  2 Er 3.18-3.33, 3 Tb 3.26-3.42, 4 Pr 3.29-3.54
Tl  0.5000  0.1339  0.7459 (multiplicity 2)  6 Tb 3.20-3.58, 2 Er 3.22, 1 Pr 3.43



[8]
First-principles (PBE-GGA) data for a relaxed CaPmHgGe crystal, as listed in Alexandria.

a = 7.4554 Å, b = 7.4554 Å, c = 7.4554 Å
α = 90.00°, β = 90.00°, γ = 90.00°
With the nearest neighbours (Å) after each atom.
Space group F-43m (No. 216)
Asymmetric unit:
Ca  0.0000  0.0000  0.0000 (multiplicity 4)  4 Hg 3.23, 4 Ge 3.23
Pm  0.0000  0.0000  0.5000 (multiplicity 4)  4 Hg 3.23, 4 Ge 3.23
Hg  0.2500  0.2500  0.7500 (multiplicity 4)  4 Ca 3.23, 4 Pm 3.23
Ge  0.2500  0.2500  0.2500 (multiplicity 4)  4 Ca 3.23, 4 Pm 3.23



no.,uncorrected energy (hartree per atom),magnetic moment (μB/cell)
1,-0.148,1.4
2,-0.280,5.3
3,-0.133,0.0
4,-0.113,0.9
5,-0.311,32.0
6,-0.215,0.0
7,-0.153,0.0
8,-0.128,0.0